PBE Ho2Er2CBr3Cl2, optimized geometry; total magnetization = 0.1 Bohr magnetons per cell; mass density = 6.537 g/cm³; calculated total energy = -51.4 eV per cell
1.0
-2.515 -8.321 0.839
-0.562 -7.746 3.993
-6.210 4.051 3.108
Br C Cl Er Ho
3 1 2 2 2
Direct
0.169 0.169 0.340
0.500 0.500 0.500
0.831 0.831 0.660
0.500 0.500 0.000
0.829 0.829 0.154
0.171 0.171 0.846
0.642 0.642 0.073
0.358 0.358 0.927
0.998 0.998 0.201
0.002 0.002 0.799

PBE TlCdMo4N2, optimized geometry; total magnetization = 0.0 Bohr magnetons per cell; mass density = 10.453 g/cm³; calculated total energy = -62.1 eV per cell
1.0
2.996 0.000 0.000
-1.498 2.594 0.000
0.000 0.000 14.891
Cd Mo N Tl
1 4 2 1
Direct
0.667 0.333 0.000
0.000 0.000 0.165
0.667 0.333 0.334
0.667 0.333 0.666
0.000 0.000 0.835
0.333 0.667 0.249
0.333 0.667 0.751
0.000 0.000 0.500

PBE PrNdAl, optimized geometry; total magnetization = 0.6 Bohr magnetons per cell; mass density = 5.365 g/cm³; calculated total energy = -11.9 eV per cell
1.0
0.000 3.642 3.642
3.642 0.000 3.642
3.642 3.642 0.000
Al Nd Pr
1 1 1
Direct
0.250 0.250 0.250
0.750 0.750 0.750
0.000 0.000 0.000

PBE ThGe2, optimized geometry; total magnetization = 0.1 Bohr magnetons per cell; mass density = 2.184 g/cm³; calculated total energy = -25.4 eV per cell
1.0
4.663 2.692 7.615
-4.663 2.692 7.615
0.000 -5.385 7.615
Ge Th
4 2
Direct
0.875 0.375 0.375
0.375 0.875 0.375
0.375 0.375 0.375
0.375 0.375 0.875
0.250 0.250 0.250
0.500 0.500 0.500

PBE TbIn, optimized geometry; total magnetization = 0.0 Bohr magnetons per cell; mass density = 5.424 g/cm³; calculated total energy = -6.0 eV per cell
1.0
0.000 3.473 3.473
3.473 0.000 3.473
3.473 3.473 0.000
In Tb
1 1
Direct
0.000 0.000 0.000
0.250 0.250 0.250

PBE ZrCdHg2, optimized geometry; total magnetization = 0.0 Bohr magnetons per cell; mass density = 11.522 g/cm³; ΔH_f (0 K) = -0.1026 eV/atom
1.0
4.581 0.000 0.000
0.000 4.581 0.000
0.000 0.000 4.153
Cd Hg Zr
1 2 1
Direct
0.000 0.000 0.500
0.500 0.000 0.000
0.000 0.500 0.000
0.500 0.500 0.500